Below is a relaxed LaRe2Rh crystal, with properties calculated at the PBE level.

Calculated values
ΔE_f in meV/atom: 797

CIF file:
```
data_LaRe2Rh
_chemical_formula_sum 'La4 Re8 Rh4'
_cell_length_a 6.559
_cell_length_b 6.559
_cell_length_c 6.559
_cell_angle_alpha 90.00
_cell_angle_beta 90.00
_cell_angle_gamma 90.00
_space_group_name_H-M_alt 'F m -3 m'
_space_group_IT_number 225
_space_group_name_Hall '-F 4 2 3'
loop_
_atom_site_label
_atom_site_type_symbol
_atom_site_fract_x
_atom_site_fract_y
_atom_site_fract_z
La1 La 0.000 0.000 0.000
Re1 Re 0.250 0.250 0.250
Rh1 Rh 0.000 0.000 0.500
```